Entry 1:
Pr2DyY4Ho2 | GGA-PBE | relaxed

Cell and atoms, written as POSCAR:
```
Pr2DyY4Ho2
1.0
6.2073 0.0000 0.0000
1.0471 6.1302 0.0000
2.0593 0.7019 7.7258
Pr Dy Y Ho
2 1 4 2
Direct
0.1697 0.3310 0.3332
0.8303 0.6690 0.6668
0.5000 0.0000 0.0000
0.0559 0.1104 0.7787
0.2776 0.5542 0.8883
0.7224 0.4458 0.1117
0.9441 0.8896 0.2213
0.3908 0.7774 0.4440
0.6092 0.2226 0.5560
```

Values from the calculation:
Total DFT energy (no corrections)   -0.400 Ry per atom
Theoretical density   6.382 g cm⁻³
Energy relative to the elements   0.020 eV/atom
Density of states at the Fermi level   12.49 states/eV per cell

=====

Entry 2:
Dy3MgS6 | GGA-PBE | relaxed

Cell and atoms, written as POSCAR:
```
Dy3MgS6
1.0
5.3521 -6.4133 0.0000
5.3521 6.4133 0.0000
0.0000 0.0000 6.7190
Dy Mg S
6 2 12
Direct
0.1003 0.8997 0.5000
0.2185 0.4202 0.5887
0.4202 0.2185 0.0887
0.5798 0.7815 0.5887
0.7815 0.5798 0.0887
0.8997 0.1003 0.0000
0.3014 0.6986 0.1121
0.6986 0.3014 0.6121
0.0574 0.5982 0.3112
0.1306 0.1969 0.2917
0.1969 0.1306 0.7917
0.2739 0.7261 0.7532
0.4018 0.9426 0.3112
0.4689 0.5311 0.2964
0.5311 0.4689 0.7964
0.5982 0.0574 0.8112
0.7261 0.2739 0.2532
0.8031 0.8694 0.2917
0.8694 0.8031 0.7917
0.9426 0.4018 0.8112
```

Values from the calculation:
Total DFT energy (no corrections)   -0.422 Ry per atom
Theoretical density   5.070 g cm⁻³
Uncorrected formation energy   -1729 meV/atom
Density of states at the Fermi level   11.83 states/eV per cell

=====

Entry 3:
La4PI2O | GGA-PBE | relaxed

Cell and atoms, written as POSCAR:
```
La4PI2O
1.0
7.0884 0.0000 0.0000
0.0000 4.0938 0.0000
-2.3770 0.0000 7.8101
La P I O
4 1 2 1
Direct
0.2064 0.0000 0.1791
0.2415 0.5000 0.8174
0.7585 0.5000 0.1826
0.7936 0.0000 0.8209
0.5000 0.0000 0.0000
0.0000 0.0000 0.5000
0.5000 0.5000 0.5000
0.0000 0.5000 0.0000
```

Values from the calculation:
Total DFT energy (no corrections)   -0.424 Ry per atom
Theoretical density   6.275 g cm⁻³
Uncorrected formation energy   -1622 meV/atom
Density of states at the Fermi level   4.59 states/eV per cell

=====

Entry 4:
Li2CaGe3 | GGA-PBE | relaxed

Cell and atoms, written as POSCAR:
```
Li2CaGe3
1.0
4.9764 -4.2827 0.0000
4.9764 4.2827 0.0000
0.0000 0.0000 5.5665
Li Ca Ge
4 2 6
Direct
0.2285 0.2285 0.0000
0.2285 0.2285 0.5000
0.7715 0.7715 0.0000
0.7715 0.7715 0.5000
0.3130 0.6870 0.7500
0.6870 0.3130 0.2500
0.0571 0.9429 0.2500
0.0752 0.5456 0.2500
0.4544 0.9248 0.2500
0.5456 0.0752 0.7500
0.9248 0.4544 0.7500
0.9429 0.0571 0.7500
```

Values from the calculation:
Total DFT energy (no corrections)   -0.265 Ry per atom
Theoretical density   3.805 g cm⁻³
Energy relative to the elements   -0.326 eV/atom
Density of states at the Fermi level   3.59 states/eV per cell